## one
KPW after structural relaxation, computed with PBE-GGA.

## Properties
space group: P4/nmm, No. 129

```
data_KPW
_chemical_formula_sum 'K2 P2 W2'
_cell_length_a 3.8305
_cell_length_b 3.8305
_cell_length_c 11.4154
_cell_angle_alpha 90.00
_cell_angle_beta 90.00
_cell_angle_gamma 90.00
_symmetry_space_group_name_H-M 'P 1'
_symmetry_Int_Tables_number 1
_symmetry_space_group_name_Hall 'P 1'
loop_
_atom_site_label
_atom_site_type_symbol
_atom_site_fract_x
_atom_site_fract_y
_atom_site_fract_z
K1 K 0.2500 0.2500 0.1994
K2 K 0.7500 0.7500 0.8006
P1 P 0.2500 0.2500 0.6450
P2 P 0.7500 0.7500 0.3550
W1 W 0.2500 0.7500 0.5000
W2 W 0.7500 0.2500 0.5000
```



## two
KPW after structural relaxation, computed with PBE-GGA.

## Properties
space group: F-43m, No. 216

```
data_KPW
_chemical_formula_sum 'K1 P1 W1'
_cell_length_a 4.8479
_cell_length_b 4.8479
_cell_length_c 4.8479
_cell_angle_alpha 60.00
_cell_angle_beta 60.00
_cell_angle_gamma 60.00
_symmetry_space_group_name_H-M 'P 1'
_symmetry_Int_Tables_number 1
_symmetry_space_group_name_Hall 'P 1'
loop_
_atom_site_label
_atom_site_type_symbol
_atom_site_fract_x
_atom_site_fract_y
_atom_site_fract_z
K1 K 0.0000 0.0000 0.0000
P1 P 0.2500 0.2500 0.2500
W1 W 0.7500 0.7500 0.7500
```



## three
KPW after structural relaxation, computed with PBE-GGA.

## Properties
space group: F-43m, No. 216

```
data_KPW
_chemical_formula_sum 'K1 P1 W1'
_cell_length_a 4.4974
_cell_length_b 4.4974
_cell_length_c 4.4974
_cell_angle_alpha 60.00
_cell_angle_beta 60.00
_cell_angle_gamma 60.00
_symmetry_space_group_name_H-M 'P 1'
_symmetry_Int_Tables_number 1
_symmetry_space_group_name_Hall 'P 1'
loop_
_atom_site_label
_atom_site_type_symbol
_atom_site_fract_x
_atom_site_fract_y
_atom_site_fract_z
K1 K 0.0000 0.0000 0.0000
P1 P 0.2500 0.2500 0.2500
W1 W 0.5000 0.5000 0.5000
```



Most stable pick: one. Distance to second place: 157.2 kJ/mol of atoms.



## one
KPW after structural relaxation, computed with PBE-GGA.

## Properties
space group: Fmm2, No. 42

```
data_KPW
_chemical_formula_sum 'K1 P1 W1'
_cell_length_a 7.6865
_cell_length_b 7.5050
_cell_length_c 2.9752
_cell_angle_alpha 82.16
_cell_angle_beta 75.30
_cell_angle_gamma 22.55
_symmetry_space_group_name_H-M 'P 1'
_symmetry_Int_Tables_number 1
_symmetry_space_group_name_Hall 'P 1'
loop_
_atom_site_label
_atom_site_type_symbol
_atom_site_fract_x
_atom_site_fract_y
_atom_site_fract_z
K1 K 0.0000 0.0000 0.0000
P1 P 0.6796 0.6796 0.3204
W1 W 0.2909 0.2909 0.7091
```



## two
KPW after structural relaxation, computed with PBE-GGA.

## Properties
space group: P3m1, No. 156

```
data_KPW
_chemical_formula_sum 'K1 P1 W1'
_cell_length_a 3.1562
_cell_length_b 3.1562
_cell_length_c 7.3094
_cell_angle_alpha 90.00
_cell_angle_beta 90.00
_cell_angle_gamma 120.00
_symmetry_space_group_name_H-M 'P 1'
_symmetry_Int_Tables_number 1
_symmetry_space_group_name_Hall 'P 1'
loop_
_atom_site_label
_atom_site_type_symbol
_atom_site_fract_x
_atom_site_fract_y
_atom_site_fract_z
K1 K 0.0000 0.0000 0.0000
P1 P 0.6667 0.3333 0.3522
W1 W 0.3333 0.6667 0.5684
```



## three
KPW after structural relaxation, computed with PBE-GGA.

## Properties
space group: P-6m2, No. 187

```
data_KPW
_chemical_formula_sum 'K1 P1 W1'
_cell_length_a 4.8986
_cell_length_b 4.8986
_cell_length_c 2.7483
_cell_angle_alpha 90.00
_cell_angle_beta 90.00
_cell_angle_gamma 120.00
_symmetry_space_group_name_H-M 'P 1'
_symmetry_Int_Tables_number 1
_symmetry_space_group_name_Hall 'P 1'
loop_
_atom_site_label
_atom_site_type_symbol
_atom_site_fract_x
_atom_site_fract_y
_atom_site_fract_z
K1 K 0.0000 0.0000 0.0000
P1 P 0.6667 0.3333 0.5000
W1 W 0.3333 0.6667 0.5000
```



## four
KPW after structural relaxation, computed with PBE-GGA.

## Properties
space group: I4mm, No. 107

```
data_KPW
_chemical_formula_sum 'K1 P1 W1'
_cell_length_a 6.7023
_cell_length_b 6.7023
_cell_length_c 6.7023
_cell_angle_alpha 151.37
_cell_angle_beta 151.37
_cell_angle_gamma 40.94
_symmetry_space_group_name_H-M 'P 1'
_symmetry_Int_Tables_number 1
_symmetry_space_group_name_Hall 'P 1'
loop_
_atom_site_label
_atom_site_type_symbol
_atom_site_fract_x
_atom_site_fract_y
_atom_site_fract_z
K1 K 0.0000 0.0000 0.0000
P1 P 0.2727 0.2727 0.0000
W1 W 0.7245 0.7245 0.0000
```



Most stable pick: four. Distance to second place: 8.1 kJ/mol of atoms.



## one
KY3P after structural relaxation, computed with PBE-GGA.

## Properties
space group: Pm-3m, No. 221

```
data_KY3P
_chemical_formula_sum 'K1 Y3 P1'
_cell_length_a 5.5212
_cell_length_b 5.5212
_cell_length_c 5.5212
_cell_angle_alpha 90.00
_cell_angle_beta 90.00
_cell_angle_gamma 90.00
_symmetry_space_group_name_H-M 'P 1'
_symmetry_Int_Tables_number 1
_symmetry_space_group_name_Hall 'P 1'
loop_
_atom_site_label
_atom_site_type_symbol
_atom_site_fract_x
_atom_site_fract_y
_atom_site_fract_z
K1 K 0.0000 0.0000 0.0000
Y1 Y 0.0000 0.5000 0.5000
Y2 Y 0.5000 0.0000 0.5000
Y3 Y 0.5000 0.5000 0.0000
P1 P 0.5000 0.5000 0.5000
```



## two
KY3P after structural relaxation, computed with PBE-GGA.

## Properties
space group: Pm-3m, No. 221

```
data_KY3P
_chemical_formula_sum 'K1 Y3 P1'
_cell_length_a 5.2910
_cell_length_b 5.2910
_cell_length_c 5.2910
_cell_angle_alpha 90.00
_cell_angle_beta 90.00
_cell_angle_gamma 90.00
_symmetry_space_group_name_H-M 'P 1'
_symmetry_Int_Tables_number 1
_symmetry_space_group_name_Hall 'P 1'
loop_
_atom_site_label
_atom_site_type_symbol
_atom_site_fract_x
_atom_site_fract_y
_atom_site_fract_z
K1 K 0.0000 0.0000 0.0000
Y1 Y 0.0000 0.0000 0.5000
Y2 Y 0.0000 0.5000 0.0000
Y3 Y 0.5000 0.0000 0.0000
P1 P 0.5000 0.5000 0.5000
```



Most stable pick: one. Distance to second place: 156.7 kJ/mol of atoms.



## one
K2ZnP after structural relaxation, computed with PBE-GGA.

## Properties
space group: Cm, No. 8

```
data_K2ZnP
_chemical_formula_sum 'K2 Zn1 P1'
_cell_length_a 6.3237
_cell_length_b 6.3237
_cell_length_c 5.5015
_cell_angle_alpha 115.78
_cell_angle_beta 115.78
_cell_angle_gamma 37.63
_symmetry_space_group_name_H-M 'P 1'
_symmetry_Int_Tables_number 1
_symmetry_space_group_name_Hall 'P 1'
loop_
_atom_site_label
_atom_site_type_symbol
_atom_site_fract_x
_atom_site_fract_y
_atom_site_fract_z
K1 K 0.0000 0.0000 0.0000
K2 K 0.1872 0.1872 0.6869
Zn1 Zn 0.8033 0.8033 0.3029
P1 P 0.4117 0.4117 0.4108
```



## two
K2ZnP after structural relaxation, computed with PBE-GGA.

## Properties
space group: Fm-3m, No. 225

```
data_K2ZnP
_chemical_formula_sum 'K2 Zn1 P1'
_cell_length_a 5.5175
_cell_length_b 5.5175
_cell_length_c 5.5175
_cell_angle_alpha 60.00
_cell_angle_beta 60.00
_cell_angle_gamma 60.00
_symmetry_space_group_name_H-M 'P 1'
_symmetry_Int_Tables_number 1
_symmetry_space_group_name_Hall 'P 1'
loop_
_atom_site_label
_atom_site_type_symbol
_atom_site_fract_x
_atom_site_fract_y
_atom_site_fract_z
K1 K 0.2500 0.2500 0.2500
K2 K 0.7500 0.7500 0.7500
Zn1 Zn 0.0000 0.0000 0.0000
P1 P 0.5000 0.5000 0.5000
```



## three
K2ZnP after structural relaxation, computed with PBE-GGA.

## Properties
space group: I4/mmm, No. 139

```
data_K2ZnP
_chemical_formula_sum 'K2 Zn1 P1'
_cell_length_a 5.7566
_cell_length_b 5.7566
_cell_length_c 5.7566
_cell_angle_alpha 128.16
_cell_angle_beta 128.16
_cell_angle_gamma 76.36
_symmetry_space_group_name_H-M 'P 1'
_symmetry_Int_Tables_number 1
_symmetry_space_group_name_Hall 'P 1'
loop_
_atom_site_label
_atom_site_type_symbol
_atom_site_fract_x
_atom_site_fract_y
_atom_site_fract_z
K1 K 0.2500 0.7500 0.5000
K2 K 0.7500 0.2500 0.5000
Zn1 Zn 0.0000 0.0000 0.0000
P1 P 0.5000 0.5000 0.0000
```



Most stable pick: one. Distance to second place: 29.5 kJ/mol of atoms.



## one
K2ZnP after structural relaxation, computed with PBE-GGA.

## Properties
space group: F-43m, No. 216

```
data_K2ZnP
_chemical_formula_sum 'K2 Zn1 P1'
_cell_length_a 5.3324
_cell_length_b 5.3324
_cell_length_c 5.3324
_cell_angle_alpha 60.00
_cell_angle_beta 60.00
_cell_angle_gamma 60.00
_symmetry_space_group_name_H-M 'P 1'
_symmetry_Int_Tables_number 1
_symmetry_space_group_name_Hall 'P 1'
loop_
_atom_site_label
_atom_site_type_symbol
_atom_site_fract_x
_atom_site_fract_y
_atom_site_fract_z
K1 K 0.0000 0.0000 0.0000
K2 K 0.2500 0.2500 0.2500
Zn1 Zn 0.7500 0.7500 0.7500
P1 P 0.5000 0.5000 0.5000
```



## two
K2ZnP after structural relaxation, computed with PBE-GGA.

## Properties
space group: Pmm2, No. 25

```
data_K2ZnP
_chemical_formula_sum 'K2 Zn1 P1'
_cell_length_a 3.4706
_cell_length_b 5.0200
_cell_length_c 6.7784
_cell_angle_alpha 90.00
_cell_angle_beta 90.00
_cell_angle_gamma 90.00
_symmetry_space_group_name_H-M 'P 1'
_symmetry_Int_Tables_number 1
_symmetry_space_group_name_Hall 'P 1'
loop_
_atom_site_label
_atom_site_type_symbol
_atom_site_fract_x
_atom_site_fract_y
_atom_site_fract_z
K1 K 0.0000 0.0000 0.0000
K2 K 0.5000 0.5000 0.3558
Zn1 Zn 0.5000 0.5000 0.8042
P1 P 0.0000 0.0000 0.5355
```



Most stable pick: one. Distance to second place: 14.1 kJ/mol of atoms.